Entry 1:
Here is a relaxed structure of NpPaFe from the Open Quantum Materials Database. Energies are from GGA-PBE.

Values from the calculation:
magnetization: 0.01 μB/f.u.
relative energy among the computed polymorphs: 0 meV/atom
raw total energy: -29.42 eV/f.u.
energy of formation from the pure elements: 384 meV/atom

Cell and atoms, written as POSCAR:
```
NpPaFe
1.0
0.000 3.062 3.062
3.062 0.000 3.062
3.062 3.062 0.000
Np Pa Fe
1 1 1
Cartesian
0.000 0.000 0.000
4.593 4.593 4.593
3.062 3.062 3.062
```

=====

Entry 2:
Here is a relaxed structure of NpFePb from the Open Quantum Materials Database. Energies are from GGA-PBE.

Values from the calculation:
magnetization: 1.20 μB/f.u.
raw total energy: -23.70 eV/f.u.

Cell and atoms, written as POSCAR:
```
NpFePb
1.0
0.000 3.148 3.148
3.148 0.000 3.148
3.148 3.148 0.000
Np Fe Pb
1 1 1
Cartesian
0.000 0.000 0.000
1.574 1.574 1.574
3.148 3.148 3.148
```

=====

Entry 3:
Here is a relaxed structure of NpFePd from the Open Quantum Materials Database. Energies are from GGA-PBE.

Values from the calculation:
magnetization: 0.09 μB/f.u.
raw total energy: -23.91 eV/f.u.
energy of formation from the pure elements: 780 meV/atom

Cell and atoms, written as POSCAR:
```
NpFePd
1.0
0.000 3.058 3.058
3.058 0.000 3.058
3.058 3.058 0.000
Np Fe Pd
1 1 1
Cartesian
0.000 0.000 0.000
4.587 4.587 4.587
1.529 1.529 1.529
```

=====

Entry 4:
Here is a relaxed structure of NpFePd from the Open Quantum Materials Database. Energies are from GGA-PBE.

Values from the calculation:
magnetization: 1.42 μB/f.u.
raw total energy: -24.86 eV/f.u.
energy of formation from the pure elements: 466 meV/atom

Cell and atoms, written as POSCAR:
```
NpFePd
1.0
0.000 3.073 3.073
3.073 0.000 3.073
3.073 3.073 0.000
Np Fe Pd
1 1 1
Cartesian
0.000 0.000 0.000
3.073 3.073 3.073
4.610 4.610 4.610
```

=====

Entry 5:
Here is a relaxed structure of PrNpFe from the Open Quantum Materials Database. Energies are from GGA-PBE.

Values from the calculation:
magnetization: 0.02 μB/f.u.
relative energy among the computed polymorphs: 0 meV/atom
raw total energy: -23.23 eV/f.u.
energy of formation from the pure elements: 875 meV/atom

Cell and atoms, written as POSCAR:
```
PrNpFe
1.0
0.000 3.221 3.221
3.221 0.000 3.221
3.221 3.221 0.000
Pr Np Fe
1 1 1
Cartesian
0.000 0.000 0.000
3.221 3.221 3.221
4.832 4.832 4.832
```

=====

Entry 6:
Here is a relaxed structure of NpFePt from the Open Quantum Materials Database. Energies are from GGA-PBE.

Values from the calculation:
magnetization: 0.06 μB/f.u.
raw total energy: -25.55 eV/f.u.
energy of formation from the pure elements: 527 meV/atom

Cell and atoms, written as POSCAR:
```
NpFePt
1.0
0.000 3.076 3.076
3.076 0.000 3.076
3.076 3.076 0.000
Np Fe Pt
1 1 1
Cartesian
0.000 0.000 0.000
4.614 4.614 4.614
1.538 1.538 1.538
```